Entry 1:
Density functional theory data (PBE) for a relaxed YPu2In9 crystal.

Cell: 4.652 4.652 13.963 Å, 90.00 90.00 90.00°
Each line ends with the local moment (μB).
Fractional coordinates of all 12 atoms:
Pu (0.000, 0.000, 0.332)  5.35
Pu (0.000, 0.000, 0.668)  5.35
In (0.500, 0.000, 0.167)  0.00
In (0.500, 0.500, 0.334)  0.01
In (0.500, 0.500, 0.666)  0.01
In (0.500, 0.500, 0.000)  0.00
In (0.000, 0.500, 0.500)  0.01
In (0.000, 0.500, 0.167)  0.00
In (0.000, 0.500, 0.833)  0.00
In (0.500, 0.000, 0.500)  0.01
In (0.500, 0.000, 0.833)  0.00
Y (0.000, 0.000, 0.000)  0.01

Calculated values
- calculated formation energy (kJ/mol of atoms) = -28.5
- electronic total energy (eV per atom) = -5.277

Entry 2:
Density functional theory data (PBE) for a relaxed PmTlO crystal.

Cell: 4.079 4.079 8.279 Å, 90.00 90.00 90.00°
Fractional coordinates of all 6 atoms:
Tl (0.250, 0.750, 0.909)
Tl (0.750, 0.250, 0.091)
O (0.750, 0.750, 0.500)
O (0.250, 0.250, 0.500)
Pm (0.750, 0.250, 0.635)
Pm (0.250, 0.750, 0.365)

Calculated values
- E_form (uncorrected) (eV/atom) = -2.020
- electronic total energy (eV per atom) = -6.045

Entry 3:
Density functional theory data (PBE) for a relaxed TaV crystal.

Cell: 2.818 4.498 5.176 Å, 90.00 101.66 90.00°
Fractional coordinates of all 4 atoms:
V (0.893, 0.750, 0.619)
V (0.107, 0.250, 0.381)
Ta (0.641, 0.250, 0.862)
Ta (0.359, 0.750, 0.138)

Calculated values
- calculated formation energy (kJ/mol of atoms) = 6.6
- electronic total energy (eV per atom) = -10.418

Entry 4:
Density functional theory data (PBE) for a relaxed Li7GeAu4 crystal.

Cell: 4.742 7.452 6.807 Å, 65.85 69.62 71.45°
Fractional coordinates of all 12 atoms:
Au (0.317, 0.360, 0.007)
Au (0.567, 0.274, 0.592)
Au (0.683, 0.640, 0.993)
Au (0.433, 0.726, 0.408)
Li (0.500, 0.000, 0.000)
Li (0.074, 0.592, 0.261)
Li (0.795, 0.875, 0.535)
Li (0.926, 0.408, 0.739)
Li (0.769, 0.263, 0.199)
Li (0.231, 0.737, 0.801)
Li (0.205, 0.125, 0.465)
Ge (0.000, 0.000, 0.000)

Calculated values
- calculated formation energy (kJ/mol of atoms) = -31.6
- electronic total energy (eV per atom) = -2.921

Entry 5:
Density functional theory data (PBE) for a relaxed H8PtO6 crystal.

Cell: 5.585 5.610 7.445 Å, 87.78 85.89 81.46°
Fractional coordinates of all 30 atoms:
O (0.178, 0.885, 0.586)
O (0.348, 0.322, 0.991)
O (0.639, 0.640, 0.016)
O (0.408, 0.952, 0.242)
O (0.578, 0.043, 0.756)
O (0.932, 0.405, 0.749)
O (0.025, 0.567, 0.266)
O (0.326, 0.345, 0.488)
O (0.107, 0.797, 0.936)
O (0.661, 0.649, 0.494)
O (0.808, 0.124, 0.412)
O (0.867, 0.164, 0.081)
H (0.402, 0.102, 0.165)
H (0.088, 0.373, 0.675)
H (0.948, 0.027, 0.472)
H (0.461, 0.445, 0.487)
H (0.193, 0.721, 0.540)
H (0.148, 0.452, 0.336)
H (0.745, 0.593, 0.605)
H (0.723, 0.128, 0.745)
H (0.124, 0.824, 0.802)
H (0.419, 0.213, 0.881)
H (0.865, 0.594, 0.350)
H (0.971, 0.011, 0.022)
H (0.625, 0.761, 0.914)
H (0.460, 0.455, 0.996)
H (0.515, 0.820, 0.170)
H (0.851, 0.139, 0.227)
Pt (0.989, 0.482, 0.002)
Pt (0.499, 0.999, 0.500)

Calculated values
- electronic total energy (eV per atom) = -5.077

Entry 6:
Density functional theory data (PBE) for a relaxed PmCd3Ag3 crystal.

Cell: 9.214 9.214 9.214 Å, 60.00 60.00 60.00°
Each line ends with the local moment (μB).
Fractional coordinates of all 14 atoms:
Cd (0.157, 0.843, 0.157)  0.01
Cd (0.157, 0.843, 0.843)  0.01
Cd (0.843, 0.157, 0.157)  0.01
Cd (0.843, 0.843, 0.157)  0.01
Cd (0.843, 0.157, 0.843)  0.01
Cd (0.157, 0.157, 0.843)  0.01
Ag (0.648, 0.352, 0.352)  0.01
Ag (0.352, 0.352, 0.648)  0.01
Ag (0.648, 0.352, 0.648)  0.01
Ag (0.648, 0.648, 0.352)  0.01
Ag (0.352, 0.648, 0.352)  0.01
Ag (0.352, 0.648, 0.648)  0.01
Pm (0.250, 0.250, 0.250)  0.43
Pm (0.750, 0.750, 0.750)  0.43

Calculated values
- calculated formation energy (kJ/mol of atoms) = 77.4
- electronic total energy (eV per atom) = -1.491